Computed, not measured: a geometry-optimized LiTcBTe2 structure at the GGA-PBE level of DFT.

Lattice parameters (Å, degrees): 5.1182 5.1182 4.8289 90.00 90.00 90.00
Fractional positions:
Li: 0.0000 0.0000 0.0000
Tc: 0.0000 0.0000 0.5000
B: 0.5000 0.5000 0.0000
Te: 0.0000 0.5000 0.5000
Te: 0.5000 0.0000 0.5000

space-group type = No. 123
energy relative to the elements, uncorrected = 1.166 eV/atom

=====

Computed, not measured: a geometry-optimized LiSmY2Hg4 structure at the GGA-PBE level of DFT.

Lattice parameters (Å, degrees): 9.2006 9.2006 9.2006 32.47 32.47 32.47
Fractional positions:
Li: 0.0000 0.0000 0.0000
Sm: 0.5000 0.5000 0.5000
Y: 0.2565 0.2565 0.2565
Y: 0.7435 0.7435 0.7435
Hg: 0.1188 0.1188 0.1188
Hg: 0.3739 0.3739 0.3739
Hg: 0.6261 0.6261 0.6261
Hg: 0.8812 0.8812 0.8812

space-group type = No. 166
energy of formation from the pure elements = -0.4571 eV per atom

=====

Which formula does entry 2 have? LiSmY2Hg4